(1)
Density functional theory data (GGA-PBEsol) for a relaxed structure of AlGaAg2F.

Cell lengths 4.782, 4.782, 4.994 Å; angles 90.00, 90.00, 90.00 degrees
Sites, in units of the cell vectors:
F (0.500, 0.500, 0.500)
Ag (0.500, 0.000, 0.000)
Ag (0.000, 0.500, 0.000)
Al (0.000, 0.000, 0.000)
Ga (0.000, 0.000, 0.500)

## Properties
SG: No. 123
N(E_F): 2.805 states/eV/cell
volume: 114.2 Å³ per cell
formation energy from raw total energies: 0.291 eV/atom


(2)
Density functional theory data (GGA-PBEsol) for a relaxed structure of U3Sb4Ir3.

Cell lengths 8.208, 8.208, 8.208 Å; angles 109.47, 109.47, 109.47 degrees
Sites, in units of the cell vectors:
Ir (0.375, 0.625, 0.750)
Ir (0.875, 0.750, 0.625)
Ir (0.750, 0.125, 0.375)
Ir (0.125, 0.875, 0.250)
Ir (0.250, 0.375, 0.125)
Ir (0.625, 0.250, 0.875)
U (0.750, 0.625, 0.875)
U (0.625, 0.375, 0.250)
U (0.875, 0.125, 0.750)
U (0.375, 0.750, 0.125)
U (0.125, 0.250, 0.375)
U (0.250, 0.875, 0.625)
Sb (0.500, 0.178, 0.500)
Sb (0.322, 0.322, 0.822)
Sb (0.178, 0.000, 0.000)
Sb (0.000, 0.500, 0.678)
Sb (0.500, 0.678, 0.500)
Sb (0.000, 0.500, 0.178)
Sb (0.678, 0.000, 0.000)
Sb (0.822, 0.822, 0.322)

## Properties
SG: No. 220
N(E_F): 31.940 states/eV/cell
volume: 425.6 Å³ per cell
formation energy from raw total energies: -0.425 eV/atom


(3)
Density functional theory data (GGA-PBEsol) for a relaxed structure of LiCa2Au.

Cell lengths 4.081, 4.081, 9.042 Å; angles 76.96, 76.96, 60.00 degrees
Sites, in units of the cell vectors:
Ca (0.269, 0.269, 0.194)
Ca (0.731, 0.731, 0.806)
Au (0.000, 0.000, 0.000)
Li (0.500, 0.500, 0.500)

## Properties
SG: No. 166
electronic total energy: -2.832 eV/atom
N(E_F): 1.682 states/eV/cell
volume: 125.9 Å³ per cell


(4)
Density functional theory data (GGA-PBEsol) for a relaxed structure of YCuNi4.

Cell lengths 4.780, 4.780, 4.780 Å; angles 60.00, 60.00, 60.00 degrees
Sites, in units of the cell vectors:
Ni (0.626, 0.626, 0.122)
Ni (0.626, 0.122, 0.626)
Ni (0.122, 0.626, 0.626)
Ni (0.626, 0.626, 0.626)
Y (0.250, 0.250, 0.250)
Cu (0.000, 0.000, 0.000)

## Properties
SG: No. 216
electronic total energy: -6.237 eV/atom
N(E_F): 7.016 states/eV/cell
volume: 77.2 Å³ per cell